# 1
A PBEsol-optimized structure of LiTlBr2, computed with meta-GGA SCAN.

Results
The formation energy without anion corrections comes out at -118 kJ/mol of atoms. The value obtained for the density of states at the Fermi level is 0.0000 states/eV per atom. The energy relative to the lowest polymorph listed for this composition is 41 meV per atom. Its total energy is -118.569 eV/cell.

The structure in POSCAR format:
```
LiTlBr2
1.0
6.186 -2.068 0.000
6.186 2.068 0.000
-0.072 0.000 4.825
Li Tl Br
1 1 2
Direct
0.000 0.000 0.000
0.273 0.273 0.315
0.541 0.541 0.268
0.817 0.817 0.809
```


# 2
A PBEsol-optimized structure of LiTlBr2, computed with meta-GGA SCAN.

Results
The formation energy without anion corrections comes out at -121 kJ/mol of atoms. The value obtained for the density of states at the Fermi level is 0.0000 states/eV per atom. The energy relative to the lowest polymorph listed for this composition is 10 meV per atom. Its total energy is -118.693 eV/cell.

The structure in POSCAR format:
```
LiTlBr2
1.0
2.022 1.167 7.471
-2.022 1.167 7.471
0.000 -2.335 7.471
Li Tl Br
1 1 2
Direct
0.000 0.000 0.000
0.168 0.168 0.168
0.400 0.400 0.400
0.601 0.601 0.601
```


# 3
A PBEsol-optimized structure of LiTlBr2, computed with meta-GGA SCAN.

Results
The formation energy without anion corrections comes out at -122 kJ/mol of atoms. The value obtained for the density of states at the Fermi level is 0.0000 states/eV per atom. The energy relative to the lowest polymorph listed for this composition is 0 meV per atom. Its total energy is -237.469 eV/cell.

The structure in POSCAR format:
```
LiTlBr2
1.0
-3.756 3.756 4.016
3.756 -3.756 4.016
3.756 3.756 -4.016
Li Tl Br
2 2 4
Direct
0.000 0.000 0.000
0.750 0.250 0.500
0.250 0.750 0.500
0.500 0.500 0.000
0.051 0.125 0.426
0.375 0.949 0.074
0.699 0.625 0.574
0.875 0.301 0.926
```


# 4
A PBEsol-optimized structure of LiTlBr2, computed with meta-GGA SCAN.

Results
The formation energy without anion corrections comes out at -68 kJ/mol of atoms. The value obtained for the density of states at the Fermi level is 0.0000 states/eV per atom. The energy relative to the lowest polymorph listed for this composition is 562 meV per atom. Its total energy is -116.487 eV/cell.

The structure in POSCAR format:
```
LiTlBr2
1.0
0.000 3.774 3.774
3.774 0.000 3.774
3.774 3.774 0.000
Li Tl Br
1 1 2
Direct
0.000 0.000 0.000
0.750 0.750 0.750
0.250 0.250 0.250
0.500 0.500 0.500
```


# 5
A PBEsol-optimized structure of LiTlBr2, computed with meta-GGA SCAN.

Results
The formation energy without anion corrections comes out at -112 kJ/mol of atoms. The value obtained for the density of states at the Fermi level is 0.0000 states/eV per atom. The energy relative to the lowest polymorph listed for this composition is 106 meV per atom. Its total energy is -118.311 eV/cell.

The structure in POSCAR format:
```
LiTlBr2
1.0
-2.024 3.238 4.207
2.024 -3.238 4.207
2.024 3.238 -4.207
Li Tl Br
1 1 2
Direct
0.000 0.000 0.000
0.500 0.500 0.000
0.201 0.701 0.500
0.799 0.299 0.500
```


# 6
A PBEsol-optimized structure of LiTlBr2, computed with meta-GGA SCAN.

Results
The formation energy without anion corrections comes out at -96 kJ/mol of atoms. The value obtained for the density of states at the Fermi level is 0.0336 states/eV per atom. The energy relative to the lowest polymorph listed for this composition is 272 meV per atom. Its total energy is -117.648 eV/cell.

The structure in POSCAR format:
```
LiTlBr2
1.0
2.013 1.162 8.681
-2.013 1.162 8.681
0.000 -2.324 8.681
Li Tl Br
1 1 2
Direct
0.000 0.000 0.000
0.500 0.500 0.500
0.388 0.388 0.388
0.612 0.612 0.612
```


# 7
A PBEsol-optimized structure of LiTlBr2, computed with meta-GGA SCAN.

Results
The formation energy without anion corrections comes out at -115 kJ/mol of atoms. The value obtained for the density of states at the Fermi level is 0.0000 states/eV per atom. The energy relative to the lowest polymorph listed for this composition is 79 meV per atom. Its total energy is -118.418 eV/cell.

The structure in POSCAR format:
```
LiTlBr2
1.0
-1.850 1.948 7.563
1.850 -1.948 7.563
1.850 1.948 -7.563
Li Tl Br
1 1 2
Direct
0.000 0.000 0.000
0.245 0.745 0.500
0.566 0.566 0.000
0.861 0.361 0.500
```


# 8
A PBEsol-optimized structure of LiTlBr2, computed with meta-GGA SCAN.

Results
The formation energy without anion corrections comes out at -118 kJ/mol of atoms. The value obtained for the density of states at the Fermi level is 0.0000 states/eV per atom. The energy relative to the lowest polymorph listed for this composition is 41 meV per atom. Its total energy is -118.570 eV/cell.

The structure in POSCAR format:
```
LiTlBr2
1.0
4.700 0.000 0.000
0.000 4.343 0.000
-0.294 0.000 6.433
Li Tl Br
1 1 2
Direct
0.000 0.000 0.000
0.646 0.500 0.570
0.146 0.000 0.636
0.765 0.500 0.076
```


# 9
A PBEsol-optimized structure of LiTl2Br, computed with meta-GGA SCAN.

Results
The formation energy without anion corrections comes out at -38 kJ/mol of atoms. The value obtained for the density of states at the Fermi level is 0.2603 states/eV per atom. The energy relative to the lowest polymorph listed for this composition is 0 meV per atom. Its total energy is -168.135 eV/cell.

The structure in POSCAR format:
```
LiTl2Br
1.0
5.422 0.000 0.000
0.000 5.422 0.000
0.000 0.000 3.587
Li Tl Br
1 2 1
Direct
0.000 0.000 0.000
0.000 0.500 0.500
0.500 0.000 0.500
0.500 0.500 0.000
```


# 10
A PBEsol-optimized structure of LiTlBr2, computed with meta-GGA SCAN.

Results
The formation energy without anion corrections comes out at -118 kJ/mol of atoms. The value obtained for the density of states at the Fermi level is 0.0000 states/eV per atom. The energy relative to the lowest polymorph listed for this composition is 40 meV per atom. Its total energy is -118.574 eV/cell.

The structure in POSCAR format:
```
LiTlBr2
1.0
4.041 0.000 0.000
0.000 3.718 0.000
-1.456 0.000 7.281
Li Tl Br
1 1 2
Direct
0.000 0.000 0.000
0.500 0.000 0.500
0.101 0.500 0.771
0.899 0.500 0.229
```


# 11
A PBEsol-optimized structure of LiTl2Br, computed with meta-GGA SCAN.

Results
The formation energy without anion corrections comes out at -16 kJ/mol of atoms. The value obtained for the density of states at the Fermi level is 0.5511 states/eV per atom. The energy relative to the lowest polymorph listed for this composition is 224 meV per atom. Its total energy is -167.239 eV/cell.

The structure in POSCAR format:
```
LiTl2Br
1.0
0.000 3.840 3.840
3.840 0.000 3.840
3.840 3.840 0.000
Li Tl Br
1 2 1
Direct
0.000 0.000 0.000
0.250 0.250 0.250
0.750 0.750 0.750
0.500 0.500 0.500
```


# 12
A PBEsol-optimized structure of LiW2Br, computed with meta-GGA SCAN.

Results
The formation energy without anion corrections comes out at 159 kJ/mol of atoms. The value obtained for the density of states at the Fermi level is 0.7954 states/eV per atom. The energy relative to the lowest polymorph listed for this composition is 1434 meV per atom. Its total energy is -154.613 eV/cell.

The structure in POSCAR format:
```
LiW2Br
1.0
0.000 3.073 3.073
3.073 0.000 3.073
3.073 3.073 0.000
Li W Br
1 2 1
Direct
0.000 0.000 0.000
0.250 0.250 0.250
0.750 0.750 0.750
0.500 0.500 0.500
```


# 13
A PBEsol-optimized structure of LiWBr2, computed with meta-GGA SCAN.

Results
The formation energy without anion corrections comes out at 58 kJ/mol of atoms. The value obtained for the density of states at the Fermi level is 0.3675 states/eV per atom. The energy relative to the lowest polymorph listed for this composition is 265 meV per atom. Its total energy is -108.604 eV/cell.

The structure in POSCAR format:
```
LiWBr2
1.0
0.000 3.206 3.206
3.206 0.000 3.206
3.206 3.206 0.000
Li W Br
1 1 2
Direct
0.000 0.000 0.000
0.500 0.500 0.500
0.250 0.250 0.250
0.750 0.750 0.750
```


# 14
A PBEsol-optimized structure of Li2WBr, computed with meta-GGA SCAN.

Results
The formation energy without anion corrections comes out at 115 kJ/mol of atoms. The value obtained for the density of states at the Fermi level is 0.6525 states/eV per atom. The energy relative to the lowest polymorph listed for this composition is 1020 meV per atom. Its total energy is -89.165 eV/cell.

The structure in POSCAR format:
```
Li2WBr
1.0
0.000 3.283 3.283
3.283 0.000 3.283
3.283 3.283 0.000
Li W Br
2 1 1
Direct
0.250 0.250 0.250
0.750 0.750 0.750
0.000 0.000 0.000
0.500 0.500 0.500
```